Entry 1:
# PBE-GGA ZrGaIrAu, optimized geometry
data_ZrGaIrAu
_chemical_formula_sum 'Zr4 Ga4 Ir4 Au4'
_space_group_name_H-M_alt 'P 1'
_space_group_IT_number 1
_space_group_name_Hall 'P 1'
_cell_length_a 5.8183
_cell_length_b 6.4171
_cell_length_c 7.4528
_cell_angle_alpha 90.00
_cell_angle_beta 90.00
_cell_angle_gamma 90.00
loop_
_atom_site_label
_atom_site_type_symbol
_atom_site_fract_x
_atom_site_fract_y
_atom_site_fract_z
Zr1 Zr 0.0000 0.0000 0.5000
Zr2 Zr 0.0000 0.5000 0.0000
Zr3 Zr 0.5000 0.0000 0.0000
Zr4 Zr 0.5000 0.5000 0.5000
Ga1 Ga 0.0000 0.0000 0.0000
Ga2 Ga 0.0000 0.5000 0.5000
Ga3 Ga 0.5000 0.0000 0.5000
Ga4 Ga 0.5000 0.5000 0.0000
Ir1 Ir 0.2500 0.2500 0.7500
Ir2 Ir 0.2500 0.7500 0.2500
Ir3 Ir 0.7500 0.2500 0.2500
Ir4 Ir 0.7500 0.7500 0.7500
Au1 Au 0.2500 0.2500 0.2500
Au2 Au 0.2500 0.7500 0.7500
Au3 Au 0.7500 0.2500 0.7500
Au4 Au 0.7500 0.7500 0.2500
# Uncorrected energy in eV for the cell shown: -102.61
# Fermi-level density of states in states/eV/cell: 9.4
# Density in Mg/m³: 13.132
# ΔH_f (0 K) in eV per atom: -0.485
# Energy above the most stable polymorph in this dataset in meV per atom: 47.8



Entry 2:
# PBE-GGA ZrGaIrAu, optimized geometry
data_ZrGaIrAu
_chemical_formula_sum 'Zr1 Ga1 Ir1 Au1'
_space_group_name_H-M_alt 'P 1'
_space_group_IT_number 1
_space_group_name_Hall 'P 1'
_cell_length_a 3.1990
_cell_length_b 4.5067
_cell_length_c 5.5723
_cell_angle_alpha 88.48
_cell_angle_beta 89.71
_cell_angle_gamma 68.11
loop_
_atom_site_label
_atom_site_type_symbol
_atom_site_fract_x
_atom_site_fract_y
_atom_site_fract_z
Zr1 Zr 0.1909 0.9039 0.5844
Ga1 Ga 0.7537 0.7674 0.1275
Ir1 Ir 0.4616 0.3405 0.3563
Au1 Au 0.4651 0.3229 0.8700
# Uncorrected energy in eV for the cell shown: -25.35
# Fermi-level density of states in states/eV/cell: 1.8
# Density in Mg/m³: 12.260
# ΔH_f (0 K) in eV per atom: -0.410
# Energy above the most stable polymorph in this dataset in meV per atom: 122.2



Entry 3:
# PBE-GGA K3GaAu4, optimized geometry
data_K3GaAu4
_chemical_formula_sum 'K3 Ga1 Au4'
_space_group_name_H-M_alt 'P 1'
_space_group_IT_number 1
_space_group_name_Hall 'P 1'
_cell_length_a 6.9086
_cell_length_b 6.9086
_cell_length_c 6.9086
_cell_angle_alpha 103.09
_cell_angle_beta 102.79
_cell_angle_gamma 123.51
loop_
_atom_site_label
_atom_site_type_symbol
_atom_site_fract_x
_atom_site_fract_y
_atom_site_fract_z
K1 K 0.5817 0.2621 0.8438
K2 K 0.9183 0.0000 0.9183
K3 K 0.5817 0.7379 0.3196
Ga1 Ga 0.0265 0.5000 0.5265
Au1 Au 0.1960 0.7401 0.9361
Au2 Au 0.1960 0.2599 0.4558
Au3 Au 0.5401 0.2147 0.3255
Au4 Au 0.1108 0.7853 0.3255
# Uncorrected energy in eV for the cell shown: -21.84
# Fermi-level density of states in states/eV/cell: 0.9
# Density in Mg/m³: 6.684
# ΔH_f (0 K) in eV per atom: -0.302



Entry 4:
# PBE-GGA K2Ga7Au, optimized geometry
data_K2Ga7Au
_chemical_formula_sum 'K2 Ga7 Au1'
_space_group_name_H-M_alt 'P 1'
_space_group_IT_number 1
_space_group_name_Hall 'P 1'
_cell_length_a 4.5633
_cell_length_b 4.5633
_cell_length_c 10.9544
_cell_angle_alpha 90.00
_cell_angle_beta 90.00
_cell_angle_gamma 90.00
loop_
_atom_site_label
_atom_site_type_symbol
_atom_site_fract_x
_atom_site_fract_y
_atom_site_fract_z
K1 K 0.5000 0.0000 0.7516
K2 K 0.0000 0.5000 0.2484
Ga1 Ga 0.0000 0.5000 0.8731
Ga2 Ga 0.5000 0.0000 0.3688
Ga3 Ga 0.5000 0.0000 0.1269
Ga4 Ga 0.0000 0.5000 0.6312
Ga5 Ga 0.0000 0.0000 0.5000
Ga6 Ga 0.0000 0.0000 0.0000
Ga7 Ga 0.5000 0.5000 0.5000
Au1 Au 0.5000 0.5000 0.0000
# Uncorrected energy in eV for the cell shown: -28.45
# Fermi-level density of states in states/eV/cell: 6.0
# Density in Mg/m³: 5.556
# ΔH_f (0 K) in eV per atom: -0.179



Entry 5:
# PBE-GGA K3Ga5Au3, optimized geometry
data_K3Ga5Au3
_chemical_formula_sum 'K3 Ga5 Au3'
_space_group_name_H-M_alt 'P 1'
_space_group_IT_number 1
_space_group_name_Hall 'P 1'
_cell_length_a 7.7811
_cell_length_b 7.8225
_cell_length_c 7.8075
_cell_angle_alpha 119.69
_cell_angle_beta 108.03
_cell_angle_gamma 51.05
loop_
_atom_site_label
_atom_site_type_symbol
_atom_site_fract_x
_atom_site_fract_y
_atom_site_fract_z
K1 K 0.0394 0.3138 0.0008
K2 K 0.0075 0.9815 0.3245
K3 K 0.0052 0.6572 0.6755
Ga1 Ga 0.5827 0.6158 0.3298
Ga2 Ga 0.5781 0.2890 0.6709
Ga3 Ga 0.5521 0.2577 0.9994
Ga4 Ga 0.4320 0.7398 0.6908
Ga5 Ga 0.4358 0.0457 0.3085
Au1 Au 0.4721 0.6761 0.0002
Au2 Au 0.4484 0.3868 0.3512
Au3 Au 0.4465 0.0366 0.6483
# Uncorrected energy in eV for the cell shown: -30.86
# Fermi-level density of states in states/eV/cell: 3.4
# Density in Mg/m³: 5.466
# ΔH_f (0 K) in eV per atom: -0.237



Entry 6:
# PBE-GGA KGa3Au6, optimized geometry
data_KGa3Au6
_chemical_formula_sum 'K1 Ga3 Au6'
_space_group_name_H-M_alt 'P 1'
_space_group_IT_number 1
_space_group_name_Hall 'P 1'
_cell_length_a 6.8664
_cell_length_b 6.8664
_cell_length_c 6.8157
_cell_angle_alpha 90.00
_cell_angle_beta 120.25
_cell_angle_gamma 120.00
loop_
_atom_site_label
_atom_site_type_symbol
_atom_site_fract_x
_atom_site_fract_y
_atom_site_fract_z
K1 K 0.8434 0.9217 0.7651
Ga1 Ga 0.7619 0.3809 0.1428
Ga2 Ga 0.2555 0.6277 0.8832
Ga3 Ga 0.2255 0.1127 0.3382
Au1 Au 0.3006 0.3390 0.7151
Au2 Au 0.2339 0.7443 0.2417
Au3 Au 0.7522 0.0079 0.2418
Au4 Au 0.3761 0.9616 0.7151
Au5 Au 0.7535 0.4145 0.7151
Au6 Au 0.4974 0.4896 0.2418
# Uncorrected energy in eV for the cell shown: -31.49
# Fermi-level density of states in states/eV/cell: 2.5
# Density in Mg/m³: 10.490
# ΔH_f (0 K) in eV per atom: -0.164



Entry 7:
# PBE-GGA K3Ga2Au4, optimized geometry
data_K3Ga2Au4
_chemical_formula_sum 'K3 Ga2 Au4'
_space_group_name_H-M_alt 'P 1'
_space_group_IT_number 1
_space_group_name_Hall 'P 1'
_cell_length_a 4.7006
_cell_length_b 6.6612
_cell_length_c 9.0917
_cell_angle_alpha 106.53
_cell_angle_beta 90.00
_cell_angle_gamma 110.66
loop_
_atom_site_label
_atom_site_type_symbol
_atom_site_fract_x
_atom_site_fract_y
_atom_site_fract_z
K1 K 0.6076 0.2152 0.6884
K2 K 0.0000 0.0000 0.0000
K3 K 0.3924 0.7848 0.3116
Ga1 Ga 0.6819 0.3638 0.3362
Ga2 Ga 0.3181 0.6362 0.6638
Au1 Au 0.7300 0.4600 0.0800
Au2 Au 0.2700 0.5400 0.9200
Au3 Au 0.8673 0.7345 0.5928
Au4 Au 0.1327 0.2655 0.4072
# Uncorrected energy in eV for the cell shown: -25.16
# Fermi-level density of states in states/eV/cell: 3.2
# Density in Mg/m³: 6.836
# ΔH_f (0 K) in eV per atom: -0.301



Entry 8:
# PBE-GGA KGaAu2, optimized geometry
data_KGaAu2
_chemical_formula_sum 'K4 Ga4 Au8'
_space_group_name_H-M_alt 'P 1'
_space_group_IT_number 1
_space_group_name_Hall 'P 1'
_cell_length_a 7.2142
_cell_length_b 6.3539
_cell_length_c 8.2273
_cell_angle_alpha 90.00
_cell_angle_beta 90.00
_cell_angle_gamma 90.00
loop_
_atom_site_label
_atom_site_type_symbol
_atom_site_fract_x
_atom_site_fract_y
_atom_site_fract_z
K1 K 0.7500 0.6269 0.9822
K2 K 0.2500 0.1269 0.5178
K3 K 0.2500 0.3731 0.0178
K4 K 0.7500 0.8731 0.4822
Ga1 Ga 0.7500 0.3668 0.6420
Ga2 Ga 0.2500 0.8668 0.8580
Ga3 Ga 0.2500 0.6332 0.3580
Ga4 Ga 0.7500 0.1332 0.1420
Au1 Au 0.9430 0.0882 0.8339
Au2 Au 0.0570 0.5882 0.6661
Au3 Au 0.4430 0.9118 0.1661
Au4 Au 0.5570 0.4118 0.3339
Au5 Au 0.0570 0.9118 0.1661
Au6 Au 0.9430 0.4118 0.3339
Au7 Au 0.5570 0.0882 0.8339
Au8 Au 0.4430 0.5882 0.6661
# Uncorrected energy in eV for the cell shown: -47.24
# Fermi-level density of states in states/eV/cell: 6.5
# Density in Mg/m³: 8.855
# ΔH_f (0 K) in eV per atom: -0.283